# 1
Below is an optimized crystal structure of PrAsIr, with properties calculated at the PBE level.

```
data_PrAsIr
_space_group_name_H-M_alt 'P -6 m 2'
_space_group_IT_number 187
_space_group_name_Hall 'P -6 2'
_cell_length_a 4.2611
_cell_length_b 4.2611
_cell_length_c 12.5984
_cell_angle_alpha 90.00
_cell_angle_beta 90.00
_cell_angle_gamma 120.00
loop_
_atom_site_label
_atom_site_type_symbol
_atom_site_fract_x
_atom_site_fract_y
_atom_site_fract_z
Pr1 Pr 0.0000 0.0000 0.0000
Pr2 Pr 0.0000 0.0000 0.3321
As1 As 0.3333 0.6667 0.5000
As2 As 0.6667 0.3333 0.1606
Ir1 Ir 0.3333 0.6667 0.1730
Ir2 Ir 0.6667 0.3333 0.5000
```

Results
D(E_F) = 5.0 states/eV/cell
Energy of formation from the pure elements = -927 meV/atom
V = 198 Å³/cell
Raw total energy = -21.07 eV/f.u.


# 2
Below is an optimized crystal structure of PrAs3Ir3, with properties calculated at the PBE level.

```
data_PrAs3Ir3
_space_group_name_H-M_alt 'P m -3 n'
_space_group_IT_number 223
_space_group_name_Hall '-P 4n 2 3'
_cell_length_a 6.757
_cell_length_b 6.757
_cell_length_c 6.757
_cell_angle_alpha 90.00
_cell_angle_beta 90.00
_cell_angle_gamma 90.00
loop_
_atom_site_label
_atom_site_type_symbol
_atom_site_fract_x
_atom_site_fract_y
_atom_site_fract_z
Pr1 Pr 0.000 0.000 0.000
As1 As 0.000 0.250 0.500
Ir1 Ir 0.000 0.500 0.250
```

Results
D(E_F) = 9.6 states/eV/cell
Energy of formation from the pure elements = -240 meV/atom
V = 309 Å³/cell
Raw total energy = -46.99 eV/f.u.


# 3
Below is an optimized crystal structure of PrAsIr, with properties calculated at the PBE level.

```
data_PrAsIr
_space_group_name_H-M_alt 'I 4/m m m'
_space_group_IT_number 139
_space_group_name_Hall '-I 4 2'
_cell_length_a 4.087
_cell_length_b 4.087
_cell_length_c 17.079
_cell_angle_alpha 90.00
_cell_angle_beta 90.00
_cell_angle_gamma 90.00
loop_
_atom_site_label
_atom_site_type_symbol
_atom_site_fract_x
_atom_site_fract_y
_atom_site_fract_z
Pr1 Pr 0.000 0.000 0.109
As1 As 0.000 0.000 0.283
Ir1 Ir 0.000 0.000 0.426
```

Results
D(E_F) = 4.8 states/eV/cell
Energy of formation from the pure elements = -494 meV/atom
V = 285 Å³/cell
Raw total energy = -19.77 eV/f.u.


# 4
Below is an optimized crystal structure of Pr2As4Ir5, with properties calculated at the PBE level.

```
data_Pr2As4Ir5
_space_group_name_H-M_alt 'F m m m'
_space_group_IT_number 69
_space_group_name_Hall '-F 2 2'
_cell_length_a 5.589
_cell_length_b 10.014
_cell_length_c 15.127
_cell_angle_alpha 90.00
_cell_angle_beta 90.00
_cell_angle_gamma 90.00
loop_
_atom_site_label
_atom_site_type_symbol
_atom_site_fract_x
_atom_site_fract_y
_atom_site_fract_z
Pr1 Pr 0.000 0.000 0.129
As1 As 0.000 0.160 0.372
Ir1 Ir 0.000 0.000 0.500
Ir2 Ir 0.250 0.250 0.000
Ir3 Ir 0.250 0.250 0.250
```

Results
D(E_F) = 22.9 states/eV/cell
Energy of formation from the pure elements = -509 meV/atom
V = 847 Å³/cell
Raw total energy = -78.06 eV/f.u.


# 5
Below is an optimized crystal structure of Pr2As4Ir3Pt, with properties calculated at the PBE level.

```
data_Pr2As4Ir3Pt
_space_group_name_H-M_alt 'P -4 m 2'
_space_group_IT_number 115
_cell_length_a 4.411
_cell_length_b 4.411
_cell_length_c 9.826
_cell_angle_alpha 90.00
_cell_angle_beta 90.00
_cell_angle_gamma 90.00
loop_
_space_group_symop_operation_xyz
'x,y,z'
'y,-x,-z'
'-x,-y,z'
'-y,x,-z'
'-x,y,z'
'-y,-x,-z'
'x,-y,z'
'y,x,-z'
loop_
_atom_site_label
_atom_site_type_symbol
_atom_site_fract_x
_atom_site_fract_y
_atom_site_fract_z
Pr1 Pr 0.000 0.500 0.245
As1 As 0.000 0.000 0.000
As2 As 0.000 0.500 0.636
As3 As 0.500 0.500 0.000
Ir1 Ir 0.000 0.500 0.885
Ir2 Ir 0.500 0.500 0.500
Pt1 Pt 0.000 0.000 0.500
```

Results
D(E_F) = 6.7 states/eV/cell
Energy of formation from the pure elements = -766 meV/atom
V = 191 Å³/cell
Raw total energy = -68.44 eV/f.u.


# 6
Below is an optimized crystal structure of Pr2SnAs3Ir4, with properties calculated at the PBE level.

```
data_Pr2SnAs3Ir4
_space_group_name_H-M_alt 'P -4 m 2'
_space_group_IT_number 115
_cell_length_a 4.241
_cell_length_b 4.241
_cell_length_c 10.841
_cell_angle_alpha 90.00
_cell_angle_beta 90.00
_cell_angle_gamma 90.00
loop_
_space_group_symop_operation_xyz
'x,y,z'
'y,-x,-z'
'-x,-y,z'
'-y,x,-z'
'-x,y,z'
'-y,-x,-z'
'x,-y,z'
'y,x,-z'
loop_
_atom_site_label
_atom_site_type_symbol
_atom_site_fract_x
_atom_site_fract_y
_atom_site_fract_z
Pr1 Pr 0.000 0.500 0.239
Sn1 Sn 0.000 0.000 0.500
As1 As 0.000 0.500 0.868
As2 As 0.500 0.500 0.500
Ir1 Ir 0.000 0.000 0.000
Ir2 Ir 0.000 0.500 0.645
Ir3 Ir 0.500 0.500 0.000
```

Results
D(E_F) = 4.1 states/eV/cell
Energy of formation from the pure elements = -671 meV/atom
V = 195 Å³/cell
Raw total energy = -69.66 eV/f.u.


# 7
Below is an optimized crystal structure of Pr8Te4As3Ir, with properties calculated at the PBE level.

```
data_Pr8Te4As3Ir
_space_group_name_H-M_alt 'R -3 m'
_space_group_IT_number 166
_space_group_name_Hall '-R 3 2"'
_cell_length_a 8.7613
_cell_length_b 8.7613
_cell_length_c 22.1073
_cell_angle_alpha 90.00
_cell_angle_beta 90.00
_cell_angle_gamma 120.00
loop_
_atom_site_label
_atom_site_type_symbol
_atom_site_fract_x
_atom_site_fract_y
_atom_site_fract_z
Pr1 Pr 0.0000 0.0000 0.2410
Pr2 Pr 0.0096 0.5048 0.2392
Te1 Te 0.0000 0.0000 0.0000
Te2 Te 0.0000 0.5000 0.0000
As1 As 0.0000 0.5000 0.5000
Ir1 Ir 0.0000 0.0000 0.5000
```

Results
E_form (uncorrected) = -1.3907 eV/atom
D(E_F) = 35.8 states/eV/cell
V = 1470 Å³/cell
Raw total energy = -95.86 eV/f.u.


# 8
Below is an optimized crystal structure of Pr6Te3AsIr2, with properties calculated at the PBE level.

```
data_Pr6Te3AsIr2
_space_group_name_H-M_alt 'C 1 2/m 1'
_space_group_IT_number 12
_cell_length_a 19.501
_cell_length_b 4.319
_cell_length_c 9.030
_cell_angle_alpha 90.00
_cell_angle_beta 106.62
_cell_angle_gamma 90.00
loop_
_space_group_symop_operation_xyz
'x,y,z'
'-x,-y,-z'
'-x,y,-z'
'x,-y,z'
'x+1/2,y+1/2,z'
'-x+1/2,-y+1/2,-z'
'-x+1/2,y+1/2,-z'
'x+1/2,-y+1/2,z'
loop_
_atom_site_label
_atom_site_type_symbol
_atom_site_fract_x
_atom_site_fract_y
_atom_site_fract_z
Pr1 Pr 0.013 0.000 0.241
Pr2 Pr 0.164 0.500 0.116
Pr3 Pr 0.176 0.500 0.564
Te1 Te 0.000 0.500 0.500
Te2 Te 0.162 0.000 0.839
As1 As 0.000 0.500 0.000
Ir1 Ir 0.168 0.000 0.336
```

Results
E_form (uncorrected) = -1.1821 eV/atom
D(E_F) = 10.1 states/eV/cell
V = 729 Å³/cell
Raw total energy = -74.66 eV/f.u.